## TlP2Au (GGA-PBEsol)

Data for crystalline TlP2Au at its relaxed geometry. Values from VASP.

```
&SYSTEM
  ibrav = 0, nat = 4, ntyp = 3
/
ATOMIC_SPECIES
Au 196.97 Au.upf
P 30.97 P.upf
Tl 204.38 Tl.upf
CELL_PARAMETERS angstrom
3.801 0.000 0.000
1.901 3.292 0.000
1.901 1.097 6.342
ATOMIC_POSITIONS angstrom
Au 0.000 0.000 0.000
P 1.901 1.097 1.192
P 5.702 3.292 5.150
Tl 3.801 2.195 3.171
```

Output
Formation enthalpy at 0 K   0.159 eV/atom
Magnetization   0.00 μB per atom
Total energy   -17.500 eV per cell
Relative energy among the computed polymorphs   191 meV per atom


## CsGaSe2 (GGA-PBEsol)

Data for crystalline CsGaSe2 at its relaxed geometry. Values from VASP.

```
&SYSTEM
  ibrav = 0, nat = 8, ntyp = 3
/
ATOMIC_SPECIES
Cs 132.91 Cs.upf
Ga 69.72 Ga.upf
Se 78.96 Se.upf
CELL_PARAMETERS angstrom
-5.963 3.445 -0.507
-0.324 -6.377 -2.629
-5.103 -2.864 3.666
ATOMIC_POSITIONS angstrom
Cs 0.000 0.000 0.000
Cs -4.338 -0.588 0.006
Ga -2.713 -4.620 0.518
Ga -7.052 -5.208 0.524
Se -1.463 -3.077 -0.879
Se -8.732 -3.596 -0.165
Se -5.001 -4.043 -0.055
Se -7.583 -0.875 2.159
```

Output
Magnetization   0.00 μB per atom
Total energy   -31.308 eV per cell
Uncorrected formation energy   -918 meV/atom


## CaIr2 (GGA-PBEsol)

Data for crystalline CaIr2 at its relaxed geometry. Values from VASP.

```
&SYSTEM
  ibrav = 0, nat = 3, ntyp = 2
/
ATOMIC_SPECIES
Ca 40.08 Ca.upf
Ir 192.22 Ir.upf
CELL_PARAMETERS angstrom
2.799 0.000 0.000
0.000 4.022 0.000
-1.400 -2.011 4.974
ATOMIC_POSITIONS angstrom
Ca 0.000 0.000 0.000
Ir 0.000 0.000 2.856
Ir 1.400 2.011 2.118
```

Output
Formation enthalpy at 0 K   -0.050 eV/atom
Magnetization   0.00 μB per atom
Total energy   -21.929 eV per cell


## CoAuSI2 (GGA-PBEsol)

Data for crystalline CoAuSI2 at its relaxed geometry. Values from VASP.

```
&SYSTEM
  ibrav = 0, nat = 5, ntyp = 4
/
ATOMIC_SPECIES
I 126.90 I.upf
Co 58.93 Co.upf
S 32.06 S.upf
Au 196.97 Au.upf
CELL_PARAMETERS angstrom
-0.993 -0.865 3.796
4.851 -2.097 0.791
1.811 4.779 1.562
ATOMIC_POSITIONS angstrom
I 0.905 2.389 0.781
I 2.425 -1.048 0.396
Co 0.000 0.000 0.000
S -0.496 -0.432 1.898
Au 2.834 0.909 3.075
```

Output
Magnetization   0.00 μB per atom
Total energy   -17.705 eV per cell
Uncorrected formation energy   375 meV/atom


## LiMo3 (GGA-PBEsol)

Data for crystalline LiMo3 at its relaxed geometry. Values from VASP.

```
&SYSTEM
  ibrav = 0, nat = 4, ntyp = 2
/
ATOMIC_SPECIES
Li 6.94 Li.upf
Mo 95.94 Mo.upf
CELL_PARAMETERS angstrom
2.527 0.000 0.000
-1.264 4.519 0.007
0.000 -0.199 5.204
ATOMIC_POSITIONS angstrom
Li 0.000 0.000 0.000
Mo 1.264 -0.099 2.602
Mo 0.000 2.137 3.941
Mo 1.264 2.183 1.269
```

Output
Formation enthalpy at 0 K   0.423 eV/atom
Magnetization   0.00 μB per atom
Total energy   -35.580 eV per cell
Relative energy among the computed polymorphs   150 meV per atom


## RbBrN2 (GGA-PBEsol)

Data for crystalline RbBrN2 at its relaxed geometry. Values from VASP.

```
&SYSTEM
  ibrav = 0, nat = 4, ntyp = 3
/
ATOMIC_SPECIES
Br 79.90 Br.upf
Rb 85.47 Rb.upf
N 14.01 N.upf
CELL_PARAMETERS angstrom
-1.579 2.648 -1.096
-3.266 0.131 0.138
-1.203 3.992 6.496
ATOMIC_POSITIONS angstrom
Br -3.024 3.385 2.769
Rb 0.000 0.000 0.000
N -4.702 3.846 1.415
N -1.347 2.925 4.124
```

Output
Magnetization   0.00 μB per atom
Total energy   -13.083 eV per cell
Uncorrected formation energy   1716 meV/atom


## MgIn2Ir (GGA-PBEsol)

Data for crystalline MgIn2Ir at its relaxed geometry. Values from VASP.

```
&SYSTEM
  ibrav = 0, nat = 4, ntyp = 3
/
ATOMIC_SPECIES
In 114.82 In.upf
Ir 192.22 Ir.upf
Mg 24.30 Mg.upf
CELL_PARAMETERS angstrom
3.078 0.000 0.000
0.000 3.078 0.000
0.000 0.000 8.396
ATOMIC_POSITIONS angstrom
In 0.000 0.000 8.334
In 1.539 1.539 2.555
Ir 0.000 0.000 4.256
Mg 1.539 1.539 5.844
```

Output
Formation enthalpy at 0 K   -0.113 eV/atom
Magnetization   0.00 μB per atom
Total energy   -17.957 eV per cell


## SrYTc2 (GGA-PBEsol)

Data for crystalline SrYTc2 at its relaxed geometry. Values from VASP.

```
&SYSTEM
  ibrav = 0, nat = 4, ntyp = 3
/
ATOMIC_SPECIES
Sr 87.62 Sr.upf
Tc 98.00 Tc.upf
Y 88.91 Y.upf
CELL_PARAMETERS angstrom
-2.036 2.335 -0.822
-2.036 -0.433 -2.438
-7.642 -2.785 4.770
ATOMIC_POSITIONS angstrom
Sr 0.000 0.000 0.000
Tc -3.040 -0.281 0.481
Tc -8.675 -0.601 1.030
Y -5.857 -0.441 0.755
```

Output
Formation enthalpy at 0 K   0.941 eV/atom
Magnetization   0.00 μB per atom
Total energy   -27.430 eV per cell
Relative energy among the computed polymorphs   124 meV per atom